(1)
A plane-wave DFT calculation with PBE-GGA was carried out for a geometry-optimized Pm4Ga16Au3 structure.

CIF file:
```
data_Pm4Ga16Au3
_space_group_name_H-M_alt 'P 4/m m m'
_space_group_IT_number 123
_space_group_name_Hall '-P 4 2'
_cell_length_a 6.4097
_cell_length_b 6.4097
_cell_length_c 11.2647
_cell_angle_alpha 90.00
_cell_angle_beta 90.00
_cell_angle_gamma 90.00
loop_
_atom_site_label
_atom_site_type_symbol
_atom_site_fract_x
_atom_site_fract_y
_atom_site_fract_z
_atom_site_occupancy
Pm1 Pm 0.0000 0.5000 0.1886 1
Ga1 Ga 0.0000 0.0000 0.2023 1
Ga2 Ga 0.2052 0.2052 0.0000 1
Ga3 Ga 0.2412 0.2412 0.3737 1
Ga4 Ga 0.5000 0.5000 0.2402 1
Au1 Au 0.0000 0.5000 0.5000 1
Au2 Au 0.5000 0.5000 0.0000 1
```

Properties
**Calculated formation energy**: -0.451 eV/atom
**Fermi-level density of states**: 8.50 states/eV/cell

(2)
A plane-wave DFT calculation with PBE-GGA was carried out for a geometry-optimized TiAu structure.

CIF file:
```
data_TiAu
_space_group_name_H-M_alt 'P m -3 n'
_space_group_IT_number 223
_space_group_name_Hall '-P 4n 2 3'
_cell_length_a 7.2387
_cell_length_b 7.2387
_cell_length_c 7.2387
_cell_angle_alpha 90.00
_cell_angle_beta 90.00
_cell_angle_gamma 90.00
loop_
_atom_site_label
_atom_site_type_symbol
_atom_site_fract_x
_atom_site_fract_y
_atom_site_fract_z
_atom_site_occupancy
Ti1 Ti 0.0000 0.2500 0.5000 1
Au1 Au 0.0000 0.5000 0.2500 1
```

Properties
**Calculated formation energy**: 0.665 eV/atom
**Fermi-level density of states**: 13.32 states/eV/cell

(3)
A plane-wave DFT calculation with PBE-GGA was carried out for a geometry-optimized Y2AgPd3 structure.

CIF file:
```
data_Y2AgPd3
_space_group_name_H-M_alt 'P n m a'
_space_group_IT_number 62
_space_group_name_Hall '-P 2ac 2n'
_cell_length_a 7.4032
_cell_length_b 3.7831
_cell_length_c 17.5152
_cell_angle_alpha 90.00
_cell_angle_beta 90.00
_cell_angle_gamma 90.00
loop_
_atom_site_label
_atom_site_type_symbol
_atom_site_fract_x
_atom_site_fract_y
_atom_site_fract_z
_atom_site_occupancy
Y1 Y 0.0977 0.2500 0.2085 1
Y2 Y 0.1586 0.2500 0.4277 1
Ag1 Ag 0.0080 0.7500 0.0627 1
Pd1 Pd 0.0878 0.2500 0.6585 1
Pd2 Pd 0.2127 0.2500 0.8084 1
Pd3 Pd 0.2208 0.7500 0.5518 1
```

Properties
**Calculated formation energy**: -0.718 eV/atom
**Fermi-level density of states**: 10.04 states/eV/cell

(4)
A plane-wave DFT calculation with PBE-GGA was carried out for a geometry-optimized SrY3Ta structure.

CIF file:
```
data_SrY3Ta
_space_group_name_H-M_alt 'P m -3 m'
_space_group_IT_number 221
_space_group_name_Hall '-P 4 2 3'
_cell_length_a 5.3866
_cell_length_b 5.3866
_cell_length_c 5.3866
_cell_angle_alpha 90.00
_cell_angle_beta 90.00
_cell_angle_gamma 90.00
loop_
_atom_site_label
_atom_site_type_symbol
_atom_site_fract_x
_atom_site_fract_y
_atom_site_fract_z
_atom_site_occupancy
Sr1 Sr 0.0000 0.0000 0.0000 1
Y1 Y 0.0000 0.0000 0.5000 1
Ta1 Ta 0.5000 0.5000 0.5000 1
```

Properties
**Calculated formation energy**: 1.810 eV/atom
**Fermi-level density of states**: 6.93 states/eV/cell

(5)
A plane-wave DFT calculation with PBE-GGA was carried out for a geometry-optimized FeAg8 structure.

CIF file:
```
data_FeAg8
_space_group_name_H-M_alt 'I 4/m m m'
_space_group_IT_number 139
_space_group_name_Hall '-I 4 2'
_cell_length_a 8.7809
_cell_length_b 8.7809
_cell_length_c 4.0548
_cell_angle_alpha 90.00
_cell_angle_beta 90.00
_cell_angle_gamma 90.00
loop_
_atom_site_label
_atom_site_type_symbol
_atom_site_fract_x
_atom_site_fract_y
_atom_site_fract_z
_atom_site_occupancy
Fe1 Fe 0.0000 0.0000 0.0000 1
Ag1 Ag 0.0000 0.3301 0.0000 1
Ag2 Ag 0.1627 0.1627 0.5000 1
```

Properties
**Calculated formation energy**: 0.169 eV/atom
**Fermi-level density of states**: 10.30 states/eV/cell

(6)
A plane-wave DFT calculation with PBE-GGA was carried out for a geometry-optimized PmTa2VN4 structure.

CIF file:
```
data_PmTa2VN4
_space_group_name_H-M_alt 'C m c m'
_space_group_IT_number 63
_space_group_name_Hall '-C 2c 2'
_cell_length_a 3.1861
_cell_length_b 11.0164
_cell_length_c 10.9335
_cell_angle_alpha 90.00
_cell_angle_beta 90.00
_cell_angle_gamma 90.00
loop_
_atom_site_label
_atom_site_type_symbol
_atom_site_fract_x
_atom_site_fract_y
_atom_site_fract_z
_atom_site_occupancy
Pm1 Pm 0.0000 0.1025 0.2500 1
Ta1 Ta 0.0000 0.3706 0.0443 1
V1 V 0.0000 0.1612 0.7500 1
N1 N 0.0000 0.0000 0.0000 1
N2 N 0.0000 0.2673 0.6119 1
N3 N 0.0000 0.4417 0.2500 1
```

Properties
**E_form (uncorrected)**: -1069 meV per atom
**Fermi-level density of states**: 15.25 states/eV/cell

(7)
A plane-wave DFT calculation with PBE-GGA was carried out for a geometry-optimized ZnW2Cl8 structure.

CIF file:
```
data_ZnW2Cl8
_space_group_name_H-M_alt 'C 1 2/m 1'
_space_group_IT_number 12
_space_group_name_Hall '-C 2y'
_cell_length_a 13.3431
_cell_length_b 8.8378
_cell_length_c 6.8885
_cell_angle_alpha 90.00
_cell_angle_beta 101.58
_cell_angle_gamma 90.00
loop_
_atom_site_label
_atom_site_type_symbol
_atom_site_fract_x
_atom_site_fract_y
_atom_site_fract_z
_atom_site_occupancy
Zn1 Zn 0.0000 0.0000 0.0000 1
W1 W 0.1999 0.0000 0.6674 1
Cl1 Cl 0.1109 0.1788 0.8021 1
Cl2 Cl 0.1274 0.5000 0.2434 1
Cl3 Cl 0.1872 0.0000 0.3328 1
```

Properties
**E_form (uncorrected)**: -464 meV per atom
**Fermi-level density of states**: 8.21 states/eV/cell

(8)
A plane-wave DFT calculation with PBE-GGA was carried out for a geometry-optimized AlPPb structure.

CIF file:
```
data_AlPPb
_space_group_name_H-M_alt 'P 1 21/m 1'
_space_group_IT_number 11
_space_group_name_Hall '-P 2yb'
_cell_length_a 6.4048
_cell_length_b 3.8401
_cell_length_c 6.4324
_cell_angle_alpha 90.00
_cell_angle_beta 108.75
_cell_angle_gamma 90.00
loop_
_atom_site_label
_atom_site_type_symbol
_atom_site_fract_x
_atom_site_fract_y
_atom_site_fract_z
_atom_site_occupancy
Al1 Al 0.1039 0.2500 0.3985 1
P1 P 0.0971 0.2500 0.7752 1
Pb1 Pb 0.4230 0.7500 0.2509 1
```

Properties
**Calculated formation energy**: -0.062 eV/atom
**Fermi-level density of states**: 1.49 states/eV/cell

(9)
A plane-wave DFT calculation with PBE-GGA was carried out for a geometry-optimized K2CdMo structure.

CIF file:
```
data_K2CdMo
_space_group_name_H-M_alt 'P 4/m m m'
_space_group_IT_number 123
_space_group_name_Hall '-P 4 2'
_cell_length_a 4.7343
_cell_length_b 4.7343
_cell_length_c 5.8208
_cell_angle_alpha 90.00
_cell_angle_beta 90.00
_cell_angle_gamma 90.00
loop_
_atom_site_label
_atom_site_type_symbol
_atom_site_fract_x
_atom_site_fract_y
_atom_site_fract_z
_atom_site_occupancy
K1 K 0.0000 0.5000 0.0000 1
Cd1 Cd 0.0000 0.0000 0.5000 1
Mo1 Mo 0.5000 0.5000 0.5000 1
```

Properties
**Calculated formation energy**: 1.095 eV/atom
**Fermi-level density of states**: 2.36 states/eV/cell

(10)
A plane-wave DFT calculation with PBE-GGA was carried out for a geometry-optimized Ac2TlIrRh structure.

CIF file:
```
data_Ac2TlIrRh
_space_group_name_H-M_alt 'C m c m'
_space_group_IT_number 63
_space_group_name_Hall '-C 2c 2'
_cell_length_a 9.3355
_cell_length_b 13.3074
_cell_length_c 4.5644
_cell_angle_alpha 90.00
_cell_angle_beta 90.00
_cell_angle_gamma 90.00
loop_
_atom_site_label
_atom_site_type_symbol
_atom_site_fract_x
_atom_site_fract_y
_atom_site_fract_z
_atom_site_occupancy
Ac1 Ac 0.2159 0.1308 0.2500 1
Tl1 Tl 0.0000 0.3756 0.2500 1
Ir1 Ir 0.0000 0.0467 0.7500 1
Rh1 Rh 0.0000 0.2388 0.7500 1
```

Properties
**Calculated formation energy**: -0.498 eV/atom
**Fermi-level density of states**: 14.88 states/eV/cell

(11)
A plane-wave DFT calculation with PBE-GGA was carried out for a geometry-optimized Ce2BeSi2Ru5 structure.

CIF file:
```
data_Ce2BeSi2Ru5
_space_group_name_H-M_alt 'P 4/m b m'
_space_group_IT_number 127
_space_group_name_Hall '-P 4 2ab'
_cell_length_a 9.8799
_cell_length_b 9.8799
_cell_length_c 3.2585
_cell_angle_alpha 90.00
_cell_angle_beta 90.00
_cell_angle_gamma 90.00
loop_
_atom_site_label
_atom_site_type_symbol
_atom_site_fract_x
_atom_site_fract_y
_atom_site_fract_z
_atom_site_occupancy
Ce1 Ce 0.1729 0.3271 0.0000 1
Be1 Be 0.0000 0.0000 0.0000 1
Si1 Si 0.1287 0.6287 0.0000 1
Ru1 Ru 0.0000 0.5000 0.5000 1
Ru2 Ru 0.0649 0.7966 0.5000 1
```

Properties
**E_form (uncorrected)**: -467 meV per atom
**Fermi-level density of states**: 11.45 states/eV/cell

(12)
A plane-wave DFT calculation with PBE-GGA was carried out for a geometry-optimized NaLa2CrCd structure.

CIF file:
```
data_NaLa2CrCd
_space_group_name_H-M_alt 'P 4/m m m'
_space_group_IT_number 123
_space_group_name_Hall '-P 4 2'
_cell_length_a 5.7077
_cell_length_b 5.7077
_cell_length_c 4.9056
_cell_angle_alpha 90.00
_cell_angle_beta 90.00
_cell_angle_gamma 90.00
loop_
_atom_site_label
_atom_site_type_symbol
_atom_site_fract_x
_atom_site_fract_y
_atom_site_fract_z
_atom_site_occupancy
Na1 Na 0.0000 0.0000 0.0000 1
La1 La 0.0000 0.5000 0.0000 1
Cr1 Cr 0.5000 0.5000 0.5000 1
Cd1 Cd 0.0000 0.0000 0.5000 1
```

Properties
**Calculated formation energy**: 1.357 eV/atom
**Fermi-level density of states**: 9.60 states/eV/cell

(13)
A plane-wave DFT calculation with PBE-GGA was carried out for a geometry-optimized TcNiMoRu structure.

CIF file:
```
data_TcNiMoRu
_space_group_name_H-M_alt 'F -4 3 m'
_space_group_IT_number 216
_space_group_name_Hall 'F -4 2 3'
_cell_length_a 6.0746
_cell_length_b 6.0746
_cell_length_c 6.0746
_cell_angle_alpha 90.00
_cell_angle_beta 90.00
_cell_angle_gamma 90.00
loop_
_atom_site_label
_atom_site_type_symbol
_atom_site_fract_x
_atom_site_fract_y
_atom_site_fract_z
_atom_site_occupancy
Tc1 Tc 0.0000 0.0000 0.0000 1
Ni1 Ni 0.2500 0.2500 0.2500 1
Mo1 Mo 0.2500 0.2500 0.7500 1
Ru1 Ru 0.0000 0.0000 0.5000 1
```

Properties
**Calculated formation energy**: 0.146 eV/atom
**Fermi-level density of states**: 19.30 states/eV/cell

(14)
A plane-wave DFT calculation with PBE-GGA was carried out for a geometry-optimized AcNd2Ge6 structure.

CIF file:
```
data_AcNd2Ge6
_space_group_name_H-M_alt 'I m m m'
_space_group_IT_number 71
_space_group_name_Hall '-I 2 2'
_cell_length_a 4.1389
_cell_length_b 8.5459
_cell_length_c 13.2325
_cell_angle_alpha 90.00
_cell_angle_beta 90.00
_cell_angle_gamma 90.00
loop_
_atom_site_label
_atom_site_type_symbol
_atom_site_fract_x
_atom_site_fract_y
_atom_site_fract_z
_atom_site_occupancy
Ac1 Ac 0.0000 0.0000 0.0000 1
Nd1 Nd 0.0000 0.5000 0.1352 1
Ge1 Ge 0.0000 0.1932 0.5000 1
Ge2 Ge 0.0000 0.2712 0.3113 1
```

Properties
**Calculated formation energy**: -0.469 eV/atom
**Fermi-level density of states**: 7.18 states/eV/cell

(15)
A plane-wave DFT calculation with PBE-GGA was carried out for a geometry-optimized RbZrBi2O6 structure.

CIF file:
```
data_RbZrBi2O6
_space_group_name_H-M_alt 'C 1 2/c 1'
_space_group_IT_number 15
_space_group_name_Hall '-C 2yc'
_cell_length_a 10.6015
_cell_length_b 12.9443
_cell_length_c 7.3567
_cell_angle_alpha 90.00
_cell_angle_beta 115.89
_cell_angle_gamma 90.00
loop_
_atom_site_label
_atom_site_type_symbol
_atom_site_fract_x
_atom_site_fract_y
_atom_site_fract_z
_atom_site_occupancy
Rb1 Rb 0.0000 0.1052 0.2500 1
Zr1 Zr 0.0000 0.1953 0.7500 1
Bi1 Bi 0.1411 0.4200 0.1664 1
O1 O 0.0878 0.2709 0.0108 1
O2 O 0.1262 0.4569 0.4588 1
O3 O 0.1307 0.0975 0.7096 1
```

Properties
**E_form (uncorrected)**: -1734 meV per atom
**Fermi-level density of states**: 12.33 states/eV/cell

(16)
A plane-wave DFT calculation with PBE-GGA was carried out for a geometry-optimized KRb2TcBr6 structure.

CIF file:
```
data_KRb2TcBr6
_space_group_name_H-M_alt 'F m -3 m'
_space_group_IT_number 225
_space_group_name_Hall '-F 4 2 3'
_cell_length_a 11.3550
_cell_length_b 11.3550
_cell_length_c 11.3550
_cell_angle_alpha 90.00
_cell_angle_beta 90.00
_cell_angle_gamma 90.00
loop_
_atom_site_label
_atom_site_type_symbol
_atom_site_fract_x
_atom_site_fract_y
_atom_site_fract_z
_atom_site_occupancy
K1 K 0.0000 0.0000 0.0000 1
Rb1 Rb 0.2500 0.2500 0.2500 1
Tc1 Tc 0.0000 0.0000 0.5000 1
Br1 Br 0.0000 0.0000 0.2748 1
```

Properties
**E_form (uncorrected)**: -1132 meV per atom
**Fermi-level density of states**: 31.92 states/eV/cell

(17)
A plane-wave DFT calculation with PBE-GGA was carried out for a geometry-optimized Ba2NaErF8 structure.

CIF file:
```
data_Ba2NaErF8
_space_group_name_H-M_alt 'I -4 m 2'
_space_group_IT_number 119
_space_group_name_Hall 'I -4 -2'
_cell_length_a 5.9246
_cell_length_b 5.9246
_cell_length_c 11.7229
_cell_angle_alpha 90.00
_cell_angle_beta 90.00
_cell_angle_gamma 90.00
loop_
_atom_site_label
_atom_site_type_symbol
_atom_site_fract_x
_atom_site_fract_y
_atom_site_fract_z
_atom_site_occupancy
Ba1 Ba 0.0000 0.0000 0.0000 1
Ba2 Ba 0.0000 0.5000 0.2500 1
Na1 Na 0.0000 0.0000 0.5000 1
Er1 Er 0.0000 0.5000 0.7500 1
F1 F 0.2206 0.2718 0.6351 1
```

Properties
**E_form (uncorrected)**: -3753 meV per atom
**Fermi-level density of states**: 0.00 states/eV/cell

(18)
A plane-wave DFT calculation with PBE-GGA was carried out for a geometry-optimized Cs2US4 structure.

CIF file:
```
data_Cs2US4
_space_group_name_H-M_alt 'I 4/m m m'
_space_group_IT_number 139
_space_group_name_Hall '-I 4 2'
_cell_length_a 5.2408
_cell_length_b 5.2408
_cell_length_c 17.5404
_cell_angle_alpha 90.00
_cell_angle_beta 90.00
_cell_angle_gamma 90.00
loop_
_atom_site_label
_atom_site_type_symbol
_atom_site_fract_x
_atom_site_fract_y
_atom_site_fract_z
_atom_site_occupancy
Cs1 Cs 0.0000 0.0000 0.1486 1
U1 U 0.0000 0.0000 0.5000 1
S1 S 0.0000 0.0000 0.3597 1
S2 S 0.0000 0.5000 0.0000 1
```

Properties
**E_form (uncorrected)**: -1321 meV per atom

(19)
A plane-wave DFT calculation with PBE-GGA was carried out for a geometry-optimized La2Nd3Co2 structure.

CIF file:
```
data_La2Nd3Co2
_space_group_name_H-M_alt 'C 1 2/m 1'
_space_group_IT_number 12
_space_group_name_Hall '-C 2y'
_cell_length_a 12.4322
_cell_length_b 3.7921
_cell_length_c 9.2681
_cell_angle_alpha 90.00
_cell_angle_beta 114.33
_cell_angle_gamma 90.00
loop_
_atom_site_label
_atom_site_type_symbol
_atom_site_fract_x
_atom_site_fract_y
_atom_site_fract_z
_atom_site_occupancy
La1 La 0.1773 0.0000 0.3018 1
Nd1 Nd 0.0000 0.5000 0.5000 1
Nd2 Nd 0.1167 0.5000 0.9149 1
Co1 Co 0.1864 0.0000 0.7449 1
```

Properties
**Calculated formation energy**: -0.077 eV/atom
**Fermi-level density of states**: 16.03 states/eV/cell

(20)
A plane-wave DFT calculation with PBE-GGA was carried out for a geometry-optimized Pr2HoAg structure.

CIF file:
```
data_Pr2HoAg
_space_group_name_H-M_alt 'R -3 m'
_space_group_IT_number 166
_space_group_name_Hall '-R 3 2"'
_cell_length_a 3.6546
_cell_length_b 3.6546
_cell_length_c 32.2321
_cell_angle_alpha 90.00
_cell_angle_beta 90.00
_cell_angle_gamma 120.00
loop_
_atom_site_label
_atom_site_type_symbol
_atom_site_fract_x
_atom_site_fract_y
_atom_site_fract_z
_atom_site_occupancy
Pr1 Pr 0.0000 0.0000 0.2426 1
Ho1 Ho 0.0000 0.0000 0.0000 1
Ag1 Ag 0.0000 0.0000 0.5000 1
```

Properties
**Calculated formation energy**: -0.002 eV/atom
**Fermi-level density of states**: 10.75 states/eV/cell

| no. | magnetization (μB per formula unit) |
| --- | --- |
| 1 | 0.0 |
| 2 | 0.9 |
| 3 | 0.0 |
| 4 | 0.9 |
| 5 | 3.0 |
| 6 | 0.0 |
| 7 | 4.0 |
| 8 | 0.0 |
| 9 | 4.3 |
| 10 | 0.0 |
| 11 | 0.0 |
| 12 | 0.2 |
| 13 | 0.0 |
| 14 | 0.0 |
| 15 | 0.0 |
| 16 | 2.0 |
| 17 | 0.0 |
| 18 | 0.0 |
| 19 | 0.0 |
| 20 | 0.0 |